[1]
A geometry-optimized NbTl2OsO6 structure. Source: Alexandria via LeMat-Bulk, functional PBE.

Geometry as POSCAR:
```
NbTl2OsO6
1.0
-0.522 5.370 -1.065
0.307 -1.039 -5.392
-5.943 1.564 -3.455
O Tl Nb Os
6 2 1 1
Cartesian
0.088 0.655 -4.249 O
-0.303 3.676 -2.208 O
-5.998 2.708 -5.161 O
-0.160 3.187 -4.750 O
-2.139 4.130 -6.527 O
-4.018 1.765 -3.384 O
-3.286 4.550 -3.874 Tl
-2.872 1.345 -6.037 Tl
0.000 0.000 0.000 Nb
-0.108 2.165 -3.228 Os
```

Computed properties:
ρ: 7.37 g/cm3
raw formation energy: -1.2931 eV per atom

=====

[2]
A geometry-optimized YNbOs2O structure. Source: Alexandria via LeMat-Bulk, functional PBE.

Geometry as POSCAR:
```
YNbOs2O
1.0
4.666 0.000 0.000
0.000 5.824 0.000
0.000 0.000 4.666
Nb O Os Y
1 1 2 1
Cartesian
0.000 0.000 0.000 Nb
2.333 2.912 2.333 O
0.000 0.000 2.333 Os
2.333 0.000 0.000 Os
0.000 2.912 0.000 Y
```

Computed properties:
ρ: 7.57 g/cm3
raw formation energy: 1.7383 eV per atom

=====

[3]
A geometry-optimized Nb2P3O12 structure. Source: Alexandria via LeMat-Bulk, functional PBE.

Geometry as POSCAR:
```
Nb2P3O12
1.0
9.109 -0.001 -0.001
4.825 7.726 -0.001
4.825 2.675 7.248
O P Nb
24 6 4
Cartesian
13.174 6.137 6.252 O
8.648 7.959 6.801 O
6.429 7.906 2.136 O
12.331 2.494 5.111 O
7.428 2.941 6.677 O
6.575 1.792 1.981 O
12.184 8.609 5.267 O
5.003 3.461 3.655 O
7.776 3.133 4.195 O
11.914 2.721 2.628 O
10.984 7.267 3.052 O
10.112 2.442 0.446 O
5.586 4.264 0.995 O
11.983 4.756 4.070 O
10.382 6.465 5.760 O
13.757 6.940 3.592 O
6.777 5.644 3.177 O
6.846 7.680 4.619 O
9.558 2.102 5.605 O
11.332 7.460 0.570 O
8.378 3.935 1.487 O
9.202 8.299 1.642 O
10.140 4.935 0.031 O
8.620 5.466 7.217 O
8.036 2.255 5.436 P
6.169 7.046 3.390 P
9.245 3.700 0.233 P
12.590 3.355 3.857 P
10.724 8.146 1.811 P
9.515 6.701 7.015 P
6.714 3.722 2.594 Nb
16.094 8.923 6.217 Nb
12.046 6.678 4.654 Nb
2.666 1.478 1.030 Nb
```

Computed properties:
ρ: 3.06 g/cm3
raw formation energy: -2.3595 eV per atom
energy above the most stable polymorph in this dataset: 0.000 eV per formula unit

=====

[4]
A geometry-optimized Nb18P3O50 structure. Source: Alexandria via LeMat-Bulk, functional PBE.

Geometry as POSCAR:
```
Nb18P3O50
1.0
7.715 0.021 0.018
2.260 11.449 0.006
2.165 0.004 11.459
O Nb P
50 18 3
Cartesian
1.971 7.053 0.500 O
7.833 1.727 7.350 O
8.086 8.450 8.111 O
8.088 9.770 4.192 O
2.303 8.108 3.053 O
4.663 7.632 5.260 O
8.279 9.563 10.683 O
8.202 5.561 9.456 O
2.499 5.846 7.082 O
9.877 3.384 8.450 O
7.969 0.057 11.432 O
7.813 7.101 5.684 O
10.204 4.435 11.024 O
3.970 1.485 7.285 O
5.456 5.534 3.913 O
4.297 8.404 8.094 O
2.420 5.597 4.454 O
3.978 0.394 4.381 O
10.082 7.312 9.775 O
4.230 9.975 4.110 O
5.881 2.208 5.660 O
6.611 5.992 7.616 O
7.637 4.486 5.801 O
9.948 10.709 1.929 O
6.216 9.507 5.945 O
7.795 1.910 0.792 O
7.658 0.501 4.457 O
5.992 4.186 1.576 O
8.275 11.001 7.047 O
2.133 0.796 9.570 O
4.154 11.045 7.069 O
5.960 0.776 9.568 O
3.604 3.882 6.017 O
10.045 9.204 5.836 O
6.368 11.411 11.469 O
2.123 4.121 1.693 O
6.142 8.085 2.970 O
5.914 3.355 8.455 O
3.892 1.882 0.820 O
6.261 4.343 11.070 O
4.359 9.558 10.693 O
1.960 2.048 5.539 O
6.218 7.320 9.989 O
6.175 10.652 1.893 O
6.065 7.029 0.390 O
3.994 5.909 1.941 O
4.114 3.001 3.379 O
7.886 3.043 3.362 O
4.302 5.640 9.318 O
7.941 5.826 2.304 O
4.012 2.157 5.024 Nb
10.004 10.181 3.710 Nb
2.188 6.426 2.368 Nb
4.242 9.252 6.486 Nb
7.889 3.670 1.345 Nb
4.005 3.630 1.430 Nb
6.135 4.970 9.290 Nb
6.061 6.420 2.153 Nb
2.353 11.429 0.017 Nb
8.171 7.838 10.035 Nb
6.152 10.023 3.629 Nb
4.301 7.770 10.192 Nb
2.049 1.403 7.832 Nb
5.923 1.335 7.803 Nb
8.097 9.181 6.402 Nb
10.028 5.072 9.193 Nb
7.830 2.365 5.056 Nb
6.120 0.015 11.463 Nb
7.051 5.853 6.154 P
3.135 5.321 5.787 P
5.078 6.160 5.266 P
```

Computed properties:
ρ: 4.21 g/cm3
raw formation energy: -2.4513 eV per atom

=====

Question: Among the records above, which one has the highest ρ?
Answer: YNbOs2O

=====

Question: Which value of ρ does entry 2 give?
Answer: 7.57 g/cm3

=====

Question: Among the records above, which one has the lowest raw formation energy?
Answer: Nb18P3O50